No. 1
Below is a relaxed Ce3Se3Br crystal, with properties calculated at the PBE level.

* uncorrected energy: -6.063 eV per atom
* space-group type: P4/mmm
* D(E_F): 20.543 states/eV per cell

Cell lengths 4.197, 4.197, 11.787 Å; angles 90.00, 90.00, 90.00 degrees
Positions (direct):
Se 0.500 0.500 0.256
Se 0.000 0.000 0.000
Se 0.500 0.500 0.744
Br 0.000 0.000 0.500
Ce 0.500 0.500 0.000
Ce 0.000 0.000 0.747
Ce 0.000 0.000 0.253

=====

No. 2
Below is a relaxed CeSe2Br8 crystal, with properties calculated at the PBE level.

* energy above the most stable polymorph in this dataset: 0.049 eV/atom
* uncorrected energy: -3.036 eV per atom
* space-group type: C2/m
* D(E_F): 8.533 states/eV per cell

Cell lengths 7.992, 8.317, 8.317 Å; angles 62.08, 75.92, 75.92 degrees
Positions (direct):
Br 0.251 0.794 0.794
Br 0.205 0.829 0.272
Br 0.279 0.315 0.315
Br 0.795 0.728 0.171
Br 0.749 0.206 0.206
Br 0.721 0.685 0.685
Br 0.795 0.171 0.728
Br 0.205 0.272 0.829
Ce 0.000 0.000 0.000
Se 0.479 0.161 0.161
Se 0.521 0.839 0.839

=====

No. 3
Below is a relaxed Ce3Se2Br2 crystal, with properties calculated at the PBE level.

* uncorrected energy: -5.672 eV per atom
* space-group type: C2/m
* D(E_F): 18.731 states/eV per cell

Cell lengths 4.145, 7.197, 7.457 Å; angles 100.22, 89.99, 106.75 degrees
Positions (direct):
Ce 0.251 0.501 0.778
Ce 0.000 0.000 0.000
Ce 0.749 0.499 0.222
Br 0.875 0.750 0.616
Br 0.125 0.250 0.384
Se 0.383 0.766 0.142
Se 0.617 0.234 0.858

=====

No. 4
Below is a relaxed Ce4Se3Br crystal, with properties calculated at the PBE level.

* uncorrected energy: -6.044 eV per atom
* space-group type: P-3m1
* D(E_F): 26.227 states/eV per cell

Cell lengths 4.079, 4.079, 14.850 Å; angles 90.00, 90.00, 120.00 degrees
Positions (direct):
Br 0.000 0.000 0.000
Ce 0.333 0.667 0.865
Ce 0.333 0.667 0.376
Ce 0.667 0.333 0.624
Ce 0.667 0.333 0.135
Se 0.000 0.000 0.500
Se 0.000 0.000 0.747
Se 0.000 0.000 0.253

=====

No. 5
Below is a relaxed Ce2Se3Br crystal, with properties calculated at the PBE level.

* uncorrected energy: -5.524 eV per atom
* space-group type: R-3c
* D(E_F): 16.932 states/eV per cell

Cell lengths 7.916, 7.916, 7.916 Å; angles 60.20, 60.20, 60.20 degrees
Positions (direct):
Se 0.750 0.481 0.019
Se 0.981 0.250 0.519
Se 0.019 0.750 0.481
Se 0.250 0.519 0.981
Se 0.519 0.981 0.250
Se 0.481 0.019 0.750
Ce 0.646 0.646 0.646
Ce 0.354 0.354 0.354
Ce 0.854 0.854 0.854
Ce 0.146 0.146 0.146
Br 0.000 0.000 0.000
Br 0.500 0.500 0.500

=====

No. 6
Below is a relaxed Ce2SeBr crystal, with properties calculated at the PBE level.

* energy above the most stable polymorph in this dataset: 0.000 eV/atom
* uncorrected energy: -5.707 eV per atom
* space-group type: R-3m
* D(E_F): 12.404 states/eV per cell

Cell lengths 4.218, 4.218, 7.258 Å; angles 73.11, 73.11, 60.00 degrees
Positions (direct):
Br 0.500 0.500 0.500
Ce 0.254 0.254 0.238
Ce 0.746 0.746 0.762
Se 0.000 0.000 0.000

=====

uncorrected energy of number 6 (Ce2SeBr)?
-5.707 eV per atom

=====

Among the records above, which one has the highest uncorrected energy?
CeSe2Br8

=====

Which value of uncorrected energy does entry 6 give?
-5.707 eV per atom

=====

uncorrected energy of number 4 (Ce4Se3Br)?
-6.044 eV per atom